Ac2AsPt: relaxed, PBE.

Properties
- ΔE to the lowest computed polymorph (meV/atom) = 168

Unit cell a=4.4169 b=4.4169 c=8.0131 alpha=74.00 beta=74.00 gamma=60.00
With the nearest neighbours (Å) after each atom.
Positions (direct):
1 As 0.5012 0.5012 0.4965  6 Ac 3.22-3.26
2 Ac 0.2540 0.2540 0.2380  3 Pt 3.12, 3 As 3.22
3 Ac 0.0785 0.0785 0.7645  3 Pt 3.12, 3 As 3.26
4 Pt 0.6663 0.6663 0.0010  6 Ac 3.12